1.
Entry from Alexandria via LeMat-Bulk: Tb3Dy3CuS8 after structural relaxation (GGA-PBE).

The calculation puts the total energy at -6.150 eV per atom. The uncorrected formation energy is -176.5 kJ/mol of atoms. For the size of the total moment, the calculation gives 0.00 μB per cell.

It has space group R-3m (No. 166, hexagonal axes), with a = 7.7700 Å, b = 7.7700 Å, c = 19.0441 Å, α = 90.00°, β = 90.00° and γ = 120.00°. Symmetry generates all atoms from Tb at (0.0000, 0.5000, 0.0000), Dy at (0.0000, 0.5000, 0.5000), Cu at (0.0000, 0.0000, 0.5000), S at (0.0000, 0.0000, 0.2494) and S at (0.0069, 0.5035, 0.2477).

=====

2.
Entry from Alexandria via LeMat-Bulk: TbDy2CuS5 after structural relaxation (GGA-PBE).

The calculation puts the total energy at -5.993 eV per atom. The uncorrected formation energy is -164.7 kJ/mol of atoms. For the size of the total moment, the calculation gives 0.00 μB per cell.

It has space group Cmc2_1 (No. 36), with a = 3.825 Å, b = 16.857 Å, c = 11.385 Å, α = 90.00°, β = 90.00° and γ = 90.00°. Symmetry generates all atoms from Tb at (0.000, 0.195, 0.000), Dy at (0.000, 0.105, 0.674), Dy at (0.000, 0.118, 0.298), Cu at (0.000, 0.442, 0.446), S at (0.000, 0.042, 0.055), S at (0.000, 0.291, 0.671), S at (0.000, 0.320, 0.332), S at (0.000, 0.359, 0.992) and S at (0.000, 0.497, 0.769).

=====

3.
Entry from Alexandria via LeMat-Bulk: Dy4CuTe2S after structural relaxation (GGA-PBE).

The calculation puts the total energy at -5.310 eV per atom. The uncorrected formation energy is -115.4 kJ/mol of atoms. For the size of the total moment, the calculation gives 0.00 μB per cell.

It has space group P2/m (No. 10), with a = 7.274 Å, b = 4.045 Å, c = 7.371 Å, α = 90.00°, β = 108.22° and γ = 90.00°. Symmetry generates all atoms from Dy at (0.233, 0.000, 0.215), Dy at (0.264, 0.500, 0.785), Cu at (0.000, 0.500, 0.000), Te at (0.000, 0.000, 0.500), Te at (0.500, 0.500, 0.500) and S at (0.500, 0.000, 0.000).

=====

4.
Entry from Alexandria via LeMat-Bulk: Dy8CuTe4S3 after structural relaxation (GGA-PBE).

The calculation puts the total energy at -5.548 eV per atom. The uncorrected formation energy is -138.2 kJ/mol of atoms. For the size of the total moment, the calculation gives 0.00 μB per cell.

It has space group R-3m (No. 166, hexagonal axes), with a = 8.1958 Å, b = 8.1958 Å, c = 20.9304 Å, α = 90.00°, β = 90.00° and γ = 120.00°. Symmetry generates all atoms from Dy at (0.0000, 0.0000, 0.2348), Dy at (0.0025, 0.5013, 0.2371), Cu at (0.0000, 0.0000, 0.5000), Te at (0.0000, 0.0000, 0.0000), Te at (0.0000, 0.5000, 0.0000) and S at (0.0000, 0.5000, 0.5000).

=====

5.
Entry from Alexandria via LeMat-Bulk: DyCuTeS after structural relaxation (GGA-PBE).

The calculation puts the total energy at -4.981 eV per atom. The uncorrected formation energy is -95.4 kJ/mol of atoms. For the size of the total moment, the calculation gives 0.00 μB per cell.

It has space group R3m (No. 160, hexagonal axes), with a = 3.9866 Å, b = 3.9866 Å, c = 20.6000 Å, α = 90.00°, β = 90.00° and γ = 120.00°. Symmetry generates all atoms from Dy at (0.0000, 0.0000, 0.0000), Cu at (0.0000, 0.0000, 0.5538), Te at (0.0000, 0.0000, 0.4276) and S at (0.0000, 0.0000, 0.2525).

=====

6.
Entry from Alexandria via LeMat-Bulk: Dy2TiCuS5 after structural relaxation (GGA-PBE).

The calculation puts the total energy at -6.182 eV per atom. The uncorrected formation energy is -148.0 kJ/mol of atoms. For the size of the total moment, the calculation gives 0.92 μB per cell.

It has space group Cmc2_1 (No. 36), with a = 3.718 Å, b = 16.165 Å, c = 11.159 Å, α = 90.00°, β = 90.00° and γ = 90.00°. Symmetry generates all atoms from Dy at (0.000, 0.114, 0.000), Dy at (0.000, 0.129, 0.617), Ti at (0.000, 0.191, 0.322), Cu at (0.000, 0.434, 0.755), S at (0.000, 0.049, 0.365), S at (0.000, 0.288, 0.974), S at (0.000, 0.305, 0.665), S at (0.000, 0.351, 0.313) and S at (0.000, 0.496, 0.081).

=====

7.
Entry from Alexandria via LeMat-Bulk: DyTlCuS2 after structural relaxation (GGA-PBE).

The calculation puts the total energy at -4.687 eV per atom. The uncorrected formation energy is -79.4 kJ/mol of atoms. For the size of the total moment, the calculation gives 0.00 μB per cell.

It has space group P2/c (No. 13), with a = 6.315 Å, b = 5.756 Å, c = 7.471 Å, α = 90.00°, β = 105.41° and γ = 90.00°. Symmetry generates all atoms from Dy at (0.000, 0.020, 0.250), Tl at (0.500, 0.303, 0.250), Cu at (0.000, 0.500, 0.000) and S at (0.237, 0.216, 0.566).

=====

8.
Entry from Alexandria via LeMat-Bulk: Dy2Tl3CuS6 after structural relaxation (GGA-PBE).

The calculation puts the total energy at -4.708 eV per atom. The uncorrected formation energy is -91.1 kJ/mol of atoms. For the size of the total moment, the calculation gives 0.01 μB per cell.

It has space group C2/m (No. 12), with a = 7.014 Å, b = 11.561 Å, c = 7.801 Å, α = 90.00°, β = 110.74° and γ = 90.00°. Symmetry generates all atoms from Dy at (0.000, 0.163, 0.000), Tl at (0.000, 0.000, 0.500), Tl at (0.000, 0.322, 0.500), Cu at (0.000, 0.500, 0.000), S at (0.213, 0.352, 0.178) and S at (0.229, 0.000, 0.236).

=====

9.
Entry from Alexandria via LeMat-Bulk: Dy2TlCuS4 after structural relaxation (GGA-PBE).

The calculation puts the total energy at -5.475 eV per atom. The uncorrected formation energy is -140.1 kJ/mol of atoms. For the size of the total moment, the calculation gives 0.00 μB per cell.

It has space group Cmcm (No. 63), with a = 3.960 Å, b = 13.615 Å, c = 13.778 Å, α = 90.00°, β = 90.00° and γ = 90.00°. Symmetry generates all atoms from Dy at (0.000, 0.134, 0.063), Tl at (0.000, 0.392, 0.250), Cu at (0.000, 0.334, 0.750), S at (0.000, 0.072, 0.250), S at (0.000, 0.239, 0.609) and S at (0.000, 0.500, 0.000).

=====

10.
Entry from Alexandria via LeMat-Bulk: Dy2TmCuS5 after structural relaxation (GGA-PBE).

The calculation puts the total energy at -5.987 eV per atom. The uncorrected formation energy is -165.9 kJ/mol of atoms. For the size of the total moment, the calculation gives 0.00 μB per cell.

It has space group Cmc2_1 (No. 36), with a = 3.813 Å, b = 16.546 Å, c = 11.411 Å, α = 90.00°, β = 90.00° and γ = 90.00°. Symmetry generates all atoms from Dy at (0.000, 0.107, 0.000), Dy at (0.000, 0.122, 0.623), Tm at (0.000, 0.195, 0.325), Cu at (0.000, 0.442, 0.771), S at (0.000, 0.043, 0.380), S at (0.000, 0.288, 0.991), S at (0.000, 0.315, 0.661), S at (0.000, 0.358, 0.316) and S at (0.000, 0.498, 0.094).

=====

11.
Entry from Alexandria via LeMat-Bulk: DyTm2CuS5 after structural relaxation (GGA-PBE).

The calculation puts the total energy at -5.927 eV per atom. The uncorrected formation energy is -161.5 kJ/mol of atoms. For the size of the total moment, the calculation gives 0.00 μB per cell.

It has space group Cmc2_1 (No. 36), with a = 3.782 Å, b = 16.859 Å, c = 11.264 Å, α = 90.00°, β = 90.00° and γ = 90.00°. Symmetry generates all atoms from Dy at (0.000, 0.195, 0.000), Tm at (0.000, 0.103, 0.673), Tm at (0.000, 0.117, 0.296), Cu at (0.000, 0.441, 0.446), S at (0.000, 0.042, 0.056), S at (0.000, 0.292, 0.673), S at (0.000, 0.322, 0.330), S at (0.000, 0.358, 0.992) and S at (0.000, 0.497, 0.769).

=====

12.
Entry from Alexandria via LeMat-Bulk: Dy4TmCuS8 after structural relaxation (GGA-PBE).

The calculation puts the total energy at -6.100 eV per atom. The uncorrected formation energy is -175.1 kJ/mol of atoms. For the size of the total moment, the calculation gives 0.06 μB per cell.

It has space group R3m (No. 160, hexagonal axes), with a = 7.9152 Å, b = 7.9152 Å, c = 19.2824 Å, α = 90.00°, β = 90.00° and γ = 120.00°. Symmetry generates all atoms from Dy at (0.0000, 0.0000, 0.0000), Dy at (0.1730, 0.3459, 0.2073), Tm at (0.0000, 0.0000, 0.3807), Cu at (0.0000, 0.0000, 0.7495), S at (0.0000, 0.0000, 0.1344), S at (0.0000, 0.0000, 0.6242), S at (0.0061, 0.5030, 0.1254) and S at (0.1798, 0.3597, 0.9572).

=====

size of the total moment of number 6 (Dy2TiCuS5)?
0.92 μB per cell